# 1
BeCBr2: relaxed, PBE.

total moment: 5.26 μB/cell
formation energy from raw total energies: 181.6 kJ per mole of atoms
VASP energy: -2.192 eV per atom

```
data_BeCBr2
_cell_length_a 6.441
_cell_length_b 6.441
_cell_length_c 6.441
_cell_angle_alpha 90.00
_cell_angle_beta 90.00
_cell_angle_gamma 90.00
_symmetry_space_group_name_H-M 'F m -3 m'
_symmetry_Int_Tables_number 225
_symmetry_space_group_name_Hall '-F 4 2 3'
loop_
_atom_site_label
_atom_site_fract_x
_atom_site_fract_y
_atom_site_fract_z
Be1 0.000 0.000 0.000
C1 0.000 0.000 0.500
Br1 0.250 0.250 0.250
```

# 2
MgZn2Cl6: relaxed, PBE.

total moment: 0.00 μB/cell
formation energy from raw total energies: -129.4 kJ per mole of atoms
VASP energy: -3.033 eV per atom

```
data_MgZn2Cl6
_cell_length_a 12.244
_cell_length_b 11.197
_cell_length_c 6.646
_cell_angle_alpha 90.00
_cell_angle_beta 100.91
_cell_angle_gamma 90.00
_symmetry_space_group_name_H-M 'C 1 2/c 1'
_symmetry_Int_Tables_number 15
_symmetry_space_group_name_Hall '-C 2yc'
loop_
_atom_site_label
_atom_site_fract_x
_atom_site_fract_y
_atom_site_fract_z
Mg1 0.000 0.104 0.250
Zn1 0.192 0.415 0.316
Cl1 0.112 0.074 0.614
Cl2 0.128 0.247 0.141
Cl3 0.130 0.421 0.620
```

# 3
Sm8Si3GeI4: relaxed, PBE.

total moment: 0.00 μB/cell
formation energy from raw total energies: -92.1 kJ per mole of atoms
VASP energy: -5.007 eV per atom

```
data_Sm8Si3GeI4
_cell_length_a 8.5833
_cell_length_b 8.5833
_cell_length_c 22.8034
_cell_angle_alpha 90.00
_cell_angle_beta 90.00
_cell_angle_gamma 120.00
_symmetry_space_group_name_H-M 'R -3 m'
_symmetry_Int_Tables_number 166
_symmetry_space_group_name_Hall '-R 3 2"'
loop_
_atom_site_label
_atom_site_fract_x
_atom_site_fract_y
_atom_site_fract_z
Sm1 0.0000 0.0000 0.2319
Sm2 0.0024 0.5012 0.7679
Si1 0.0000 0.5000 0.5000
Ge1 0.0000 0.0000 0.5000
I1 0.0000 0.0000 0.0000
I2 0.0000 0.5000 0.0000
```

# 4
SrIn3Ru: relaxed, PBE.

formation energy from the elements: -0.181 eV per atom
total moment: 0.00 μB/cell
VASP energy: -4.016 eV per atom

```
data_SrIn3Ru
_cell_length_a 5.183
_cell_length_b 5.183
_cell_length_c 5.183
_cell_angle_alpha 90.00
_cell_angle_beta 90.00
_cell_angle_gamma 90.00
_symmetry_space_group_name_H-M 'P m -3 m'
_symmetry_Int_Tables_number 221
_symmetry_space_group_name_Hall '-P 4 2 3'
loop_
_atom_site_label
_atom_site_fract_x
_atom_site_fract_y
_atom_site_fract_z
Sr1 0.000 0.000 0.000
In1 0.000 0.500 0.500
Ru1 0.500 0.500 0.500
```

# 5
Y5PuIn3: relaxed, PBE.

formation energy from the elements: -0.358 eV per atom
total moment: 13.70 μB/cell
VASP energy: -6.455 eV per atom

```
data_Y5PuIn3
_cell_length_a 9.3486
_cell_length_b 9.3486
_cell_length_c 6.6745
_cell_angle_alpha 90.00
_cell_angle_beta 90.00
_cell_angle_gamma 120.00
_symmetry_space_group_name_H-M 'P 63/m c m'
_symmetry_Int_Tables_number 193
_symmetry_space_group_name_Hall '-P 6c 2'
loop_
_atom_site_label
_atom_site_fract_x
_atom_site_fract_y
_atom_site_fract_z
Y1 0.0000 0.3160 0.2500
Y2 0.3333 0.6667 0.0000
Pu1 0.0000 0.0000 0.0000
In1 0.0000 0.3493 0.7500
```

# 6
AgC2: relaxed, PBE.

formation energy from the elements: 1.799 eV per atom
total moment: 0.00 μB/cell
VASP energy: -5.301 eV per atom

```
data_AgC2
_cell_length_a 3.3517
_cell_length_b 3.3517
_cell_length_c 8.1124
_cell_angle_alpha 90.00
_cell_angle_beta 90.00
_cell_angle_gamma 120.00
_symmetry_space_group_name_H-M 'P 63/m m c'
_symmetry_Int_Tables_number 194
_symmetry_space_group_name_Hall '-P 6c 2c'
loop_
_atom_site_label
_atom_site_fract_x
_atom_site_fract_y
_atom_site_fract_z
Ag1 0.3333 0.6667 0.2500
C1 0.0000 0.0000 0.0778
```